# 1
Density functional theory data (GGA-PBE) for a relaxed CsK2Pt crystal.

For the total moment, the calculation gives 0.000 μB per cell. The volume is 217.2 Å³/cell. The energy above the lowest structure with this stoichiometry is 0.00 kcal/mol of atoms. As for the space group: R3m, No. 160.

a b c (Å): 5.3480 5.3480 9.2948
angles (deg): 73.28 73.28 60.00
Element x y z (fractional)
Cs1 0.5185 0.5185 0.4445
K1 0.2913 0.2913 0.1262
K2 0.0385 0.0385 0.8844
Pt1 0.6517 0.6517 0.0449

# 2
Density functional theory data (GGA-PBE) for a relaxed MnAlIn2 crystal.

For the total moment, the calculation gives 2.231 μB per cell. The volume is 82.1 Å³/cell. As for the total energy: -4.5097 eV/atom. As for the space group: Immm, No. 71.

a b c (Å): 7.2349 7.2349 7.2349
angles (deg): 157.30 145.72 41.51
Element x y z (fractional)
Al1 0.2500 0.7500 0.5000
In1 0.9258 0.9258 0.0000
In2 0.5742 0.5742 0.0000
Mn1 0.7500 0.2500 0.5000

# 3
Density functional theory data (GGA-PBE) for a relaxed LaTbNd2Bi4 crystal.

For the total moment, the calculation gives 0.000 μB per cell. The volume is 276.6 Å³/cell. As for the total energy: -5.2798 eV/atom. As for the space group: P2/m, No. 10.

a b c (Å): 4.6108 7.9803 7.9723
angles (deg): 70.54 90.00 90.00
Element x y z (fractional)
La1 0.5000 0.5000 0.0000
Nd1 0.0000 0.0000 0.0000
Nd2 0.5000 0.0000 0.5000
Bi1 0.0000 0.2498 0.2553
Bi2 0.5000 0.2537 0.7436
Bi3 0.0000 0.7502 0.7447
Bi4 0.5000 0.7463 0.2564
Tb1 0.0000 0.5000 0.5000

# 4
Density functional theory data (GGA-PBE) for a relaxed TlBi2Te2 crystal.

For the total moment, the calculation gives 0.000 μB per cell. The volume is 188.1 Å³/cell. The energy above the lowest structure with this stoichiometry is 0.00 kcal/mol of atoms. As for the space group: I4/mmm, No. 139.

a b c (Å): 6.1507 6.1507 6.6055
angles (deg): 62.25 62.25 90.00
Element x y z (fractional)
Bi1 0.6644 0.6644 0.6712
Bi2 0.3356 0.3356 0.3288
Te1 0.2500 0.7500 0.5000
Te2 0.7500 0.2500 0.5000
Tl1 0.0000 0.0000 0.0000

# 5
Density functional theory data (GGA-PBE) for a relaxed CaSm2Tc crystal.

For the total moment, the calculation gives 0.000 μB per cell. The volume is 119.0 Å³/cell. The energy above the lowest structure with this stoichiometry is 0.00 kcal/mol of atoms. As for the space group: P4/mmm, No. 123.

a b c (Å): 3.5503 3.5503 9.4414
angles (deg): 90.00 90.00 90.00
Element x y z (fractional)
Tc1 0.5000 0.5000 0.0000
Ca1 0.5000 0.5000 0.5000
Sm1 0.0000 0.0000 0.1752
Sm2 0.0000 0.0000 0.8248

# 6
Density functional theory data (GGA-PBE) for a relaxed Sr3ZrB crystal.

For the total moment, the calculation gives 1.075 μB per cell. The volume is 227.2 Å³/cell. The energy above the lowest structure with this stoichiometry is 21.12 kcal/mol of atoms. As for the space group: Pm-3m, No. 221.

a b c (Å): 6.1016 6.1016 6.1016
angles (deg): 90.00 90.00 90.00
Element x y z (fractional)
Sr1 0.0000 0.0000 0.5000
Sr2 0.0000 0.5000 0.0000
Sr3 0.5000 0.0000 0.0000
B1 0.5000 0.5000 0.5000
Zr1 0.0000 0.0000 0.0000

# 7
Density functional theory data (GGA-PBE) for a relaxed LiSnOs crystal.

For the total moment, the calculation gives 0.002 μB per cell. The volume is 105.4 Å³/cell. As for the total energy: -5.3221 eV/atom. As for the space group: Amm2, No. 38.

a b c (Å): 2.9888 2.9889 13.6291
angles (deg): 90.00 90.00 120.00
Element x y z (fractional)
Li1 0.6126 0.2251 0.6558
Li2 0.6126 0.2251 0.3442
Os1 0.6095 0.2189 0.0000
Os2 0.2796 0.5592 0.5000
Sn1 0.2762 0.5524 0.1598
Sn2 0.2762 0.5524 0.8402

# 8
Density functional theory data (GGA-PBE) for a relaxed TbCo2Sn2 crystal.

For the total moment, the calculation gives 1.430 μB per cell. The volume is 194.0 Å³/cell. As for the total energy: -5.6674 eV/atom. As for the space group: P2_1/m, No. 11.

a b c (Å): 4.2599 4.4977 10.1850
angles (deg): 96.27 90.00 90.00
Element x y z (fractional)
Co1 0.7500 0.6282 0.9988
Co2 0.2500 0.7901 0.6352
Co3 0.7500 0.2099 0.3648
Co4 0.2500 0.3718 0.0012
Sn1 0.7500 0.7449 0.4971
Sn2 0.7500 0.1643 0.1198
Sn3 0.2500 0.8357 0.8802
Sn4 0.2500 0.2551 0.5029
Tb1 0.7500 0.3003 0.7501
Tb2 0.2500 0.6997 0.2499